The following is a DFT calculation (GGA-PBE) of a geometry-optimized CsAgICl2 structure.

Computed properties:
DOS(E_F) ... 1.11 states/eV/f.u.
Crystal system ... tetragonal
E_form (uncorrected) ... -0.92 eV/atom
Energy ... -2.707 eV/atom

Unit cell a=5.3666 b=5.3666 c=5.6456 alpha=90.00 beta=90.00 gamma=90.00
Closest atoms and distances in Å follow each position.
Atoms (fractional coordinates):
Cs  0.0000  0.0000  0.0000  4 I 3.79, 8 Cl 3.89
Ag  0.5000  0.5000  0.5000  4 Cl 2.68, 2 I 2.82
I  0.5000  0.5000  0.0000  2 Ag 2.82
Cl  0.0000  0.5000  0.5000  2 Ag 2.68
Cl  0.5000  0.0000  0.5000  2 Ag 2.68